1.
Density functional theory data (PBE) for Li2CdP after structural relaxation.

Cell lengths 2.7962, 3.7431, 6.2304 Å; angles 90.00, 90.09, 90.00 degrees
Atoms (fractional coordinates):
Li 0.0006 0.0000 0.2980
Li 0.9994 0.0000 0.7020
Cd 0.5000 0.5000 0.0000
P 0.5000 0.5000 0.5000

Formation enthalpy at 0 K, meV/atom: -315
E, eV per atom: -2.853
Fermi-level density of states, states/eV per atom: 0.21

=====

2.
Density functional theory data (PBE) for BaTiIn after structural relaxation.

Cell lengths 4.9086, 4.9086, 4.8803 Å; angles 90.00, 90.00, 120.00 degrees
Atoms (fractional coordinates):
Ba 0.0000 0.0000 0.0000
Ti 0.3333 0.6667 0.5000
In 0.6667 0.3333 0.5000

Formation enthalpy at 0 K, meV/atom: 277
E, eV per atom: -3.908
Distance to the lowest polymorph of the same formula, eV/atom: 0.1017
Fermi-level density of states, states/eV per atom: 1.43